(1)
BeReP2: optimized geometry, PBE.

Cell: 4.1745 4.1745 5.8100 Å, 73.66 73.66 42.81°
Last column: nearest neighbours and their distance in Å.
Fractional positions:
P (0.2642, 0.2642, 0.3851)  3 Re 2.37-2.39, 2 Be 2.44
Be (0.7484, 0.7484, 0.7197)  1 P 2.13, 1 Re 2.37
P (0.9684, 0.9684, 0.8659)  1 Be 2.13
Re (0.5190, 0.5190, 0.5293)  3 Be 2.37-2.56, 5 P 2.37-2.42

Values from the calculation:
* Fermi-level density of states: 2.46 states/eV per cell
* total magnetic moment: 0.00 μB per formula unit
* symmetry: Cm (8)

(2)
BeReP2: optimized geometry, PBE.

Cell: 4.1301 4.1301 4.1301 Å, 60.00 60.00 60.00°
Last column: nearest neighbours and their distance in Å.
Fractional positions:
Re (0.7500, 0.7500, 0.7500)  4 Be 2.53, 4 P 2.53
P (0.2500, 0.2500, 0.2500)  4 P 2.53, 4 Be 2.53
P (0.0000, 0.0000, 0.0000)  4 Re 2.53, 4 P 2.53
Be (0.5000, 0.5000, 0.5000)  4 Re 2.53, 4 P 2.53

Values from the calculation:
* Fermi-level density of states: 3.52 states/eV per cell
* total magnetic moment: 0.00 μB per formula unit
* symmetry: F-43m (216)

(3)
BeReP2: optimized geometry, PBE.

Cell: 4.1127 4.1127 3.0550 Å, 89.71 89.71 105.74°
Last column: nearest neighbours and their distance in Å.
Fractional positions:
P (0.0000, 0.0000, 0.0000)  2 P 2.48, 4 Re 2.56-2.57, 4 Be 2.56-2.57
Re (0.5000, 0.0000, 0.5000)  2 Be 2.48, 8 P 2.56-2.57
Be (0.0000, 0.5000, 0.5000)  2 Re 2.48, 8 P 2.56-2.57
P (0.5000, 0.5000, 0.0000)  2 P 2.48, 4 Be 2.56-2.57, 4 Re 2.56-2.57

Values from the calculation:
* Fermi-level density of states: 1.69 states/eV per cell
* total magnetic moment: 0.00 μB per formula unit
* symmetry: C2/m (12)

(4)
BeReP2: optimized geometry, PBE.

Cell: 2.9733 3.5793 4.8366 Å, 90.00 90.00 90.00°
Last column: nearest neighbours and their distance in Å.
Fractional positions:
Re (0.0000, 0.0000, 0.4557)  6 P 2.41-2.46
P (0.0000, 0.0000, 0.9543)  2 Re 2.41-2.42, 4 Be 2.44
Be (0.5000, 0.5000, 0.7992)  6 P 2.38-2.46
P (0.5000, 0.5000, 0.2907)  2 Be 2.38-2.46, 4 Re 2.46

Values from the calculation:
* Fermi-level density of states: 2.07 states/eV per cell
* total magnetic moment: 0.00 μB per formula unit
* symmetry: Pmm2 (25)

Each structure's energy above the most stable one, in eV/atom: (1) 0.000; (2) 0.531; (3) 0.229; (4) 0.125.

(1)
BeReP2: optimized geometry, PBE.

Cell: 5.2243 5.2243 6.3156 Å, 65.57 65.57 90.00°
Last column: nearest neighbours and their distance in Å.
Fractional positions:
P (0.8750, 0.8588, 0.7500)  2 Be 2.20, 2 Re 2.30
P (0.6088, 0.1250, 0.2500)  2 Be 2.20, 2 Re 2.30
P (0.3750, 0.3912, 0.7500)  2 Be 2.20, 2 Re 2.30
P (0.1412, 0.6250, 0.2500)  2 Be 2.20, 2 Re 2.30
Re (0.0000, 0.0000, 0.0000)  4 P 2.30
Be (0.2500, 0.7500, 0.5000)  4 P 2.20
Re (0.7500, 0.2500, 0.5000)  4 P 2.30
Be (0.5000, 0.5000, 0.0000)  4 P 2.20

Values from the calculation:
* Fermi-level density of states: 5.59 states/eV per cell
* total magnetic moment: 0.00 μB per formula unit
* symmetry: I-42d (122)

(2)
BeReP2: optimized geometry, PBE.

Cell: 3.9030 3.0944 4.5695 Å, 70.26 90.00 90.00°
Last column: nearest neighbours and their distance in Å.
Fractional positions:
Be (0.5000, 0.5300, 0.8127)  1 P 2.15
P (0.0000, 0.9887, 0.8990)  3 Re 2.39-2.48, 4 Be 2.51-2.52
Re (0.0000, 0.7002, 0.4748)  7 P 2.39-2.59, 2 Be 2.43
P (0.5000, 0.2811, 0.3134)  1 Be 2.15

Values from the calculation:
* Fermi-level density of states: 2.39 states/eV per cell
* total magnetic moment: 0.00 μB per formula unit
* symmetry: Amm2 (38)

(3)
BeReP2: optimized geometry, PBE.

Cell: 3.0374 3.0374 5.4486 Å, 90.00 90.00 90.00°
Last column: nearest neighbours and their distance in Å.
Fractional positions:
P (0.0000, 0.0000, 0.9978)  4 Be 2.54, 4 Re 2.55, 2 P 2.70-2.75
Re (0.5000, 0.5000, 0.2500)  8 P 2.55, 2 Be 2.72
Be (0.5000, 0.5000, 0.7500)  8 P 2.54, 2 Re 2.72
P (0.0000, 0.0000, 0.5022)  4 Be 2.54, 4 Re 2.55, 2 P 2.70-2.75

Values from the calculation:
* Fermi-level density of states: 1.23 states/eV per cell
* total magnetic moment: 0.00 μB per formula unit
* symmetry: P4/mmm (123)

Each structure's energy above the most stable one, in eV/atom: (1) 0.202; (2) 0.000; (3) 0.186.

(1)
BeReP2: optimized geometry, PBE.

Cell: 4.5272 4.5272 4.5272 Å, 140.14 124.50 70.48°
Last column: nearest neighbours and their distance in Å.
Fractional positions:
P (0.7712, 0.2712, 0.5000)  2 P 2.36, 2 Re 2.56, 4 Be 2.64
Re (0.4947, 0.4947, 0.0000)  4 Be 2.54-2.69, 8 P 2.56-2.68
P (0.0126, 0.0126, 0.0000)  2 Be 2.18, 2 P 2.36
Be (0.2216, 0.7216, 0.5000)  2 P 2.18

Values from the calculation:
* Fermi-level density of states: 1.62 states/eV per cell
* total magnetic moment: 0.00 μB per formula unit
* symmetry: Imm2 (44)

(2)
BeReP2: optimized geometry, PBE.

Cell: 4.0781 3.0553 4.4744 Å, 74.18 90.00 90.00°
Last column: nearest neighbours and their distance in Å.
Fractional positions:
P (0.0000, 0.4036, 0.9451)  2 P 2.20-2.35, 2 Be 2.35, 2 Re 2.43
Be (0.5000, 0.7500, 0.7500)  2 Re 2.34, 4 P 2.35
Re (0.5000, 0.2500, 0.2500)  2 Be 2.34, 4 P 2.43
P (0.0000, 0.0964, 0.5549)  2 P 2.20-2.35, 2 Be 2.35, 2 Re 2.43

Values from the calculation:
* Fermi-level density of states: 1.99 states/eV per cell
* total magnetic moment: 0.00 μB per formula unit
* symmetry: P2/m (10)

(3)
BeReP2: optimized geometry, PBE.

Cell: 4.4743 4.4743 4.4743 Å, 138.73 122.71 73.02°
Last column: nearest neighbours and their distance in Å.
Fractional positions:
Re (0.7500, 0.2500, 0.5000)  8 P 2.62, 4 Be 2.66
P (0.0411, 0.0411, 0.0000)  2 Be 2.18
P (0.4589, 0.4589, 0.0000)  2 Be 2.18
Be (0.2500, 0.7500, 0.5000)  4 P 2.18

Values from the calculation:
* Fermi-level density of states: 1.88 states/eV per cell
* total magnetic moment: 0.00 μB per formula unit
* symmetry: Immm (71)

Each structure's energy above the most stable one, in eV/atom: (1) 0.067; (2) 0.005; (3) 0.000.

(1)
BeReP2: optimized geometry, PBE.

Cell: 6.7208 6.7208 6.7208 Å, 26.26 26.26 26.26°
Last column: nearest neighbours and their distance in Å.
Fractional positions:
Re (0.2500, 0.2500, 0.2500)  6 P 2.47
Be (0.7500, 0.7500, 0.7500)  6 P 2.32
P (0.0054, 0.0054, 0.0054)  3 Be 2.32, 3 Re 2.47
P (0.4946, 0.4946, 0.4946)  3 Be 2.32, 3 Re 2.47

Values from the calculation:
* Fermi-level density of states: 2.69 states/eV per cell
* total magnetic moment: 0.00 μB per formula unit
* symmetry: R-3m (166)

(2)
BeReP2: optimized geometry, PBE.

Cell: 4.1467 4.1467 4.4027 Å, 86.49 86.49 42.47°
Last column: nearest neighbours and their distance in Å.
Fractional positions:
Re (0.2500, 0.2500, 0.2500)  6 P 2.45-2.48, 4 Be 2.66
Be (0.7500, 0.7500, 0.7500)  2 P 2.13
P (0.5266, 0.5266, 0.4932)  1 Be 2.13
P (0.9734, 0.9734, 0.0068)  1 Be 2.13

Values from the calculation:
* Fermi-level density of states: 1.44 states/eV per cell
* total magnetic moment: 0.00 μB per formula unit
* symmetry: C2/m (12)

Each structure's energy above the most stable one, in eV/atom: (1) 0.025; (2) 0.000.

(1)
BeReP2S: optimized geometry, PBE.

Cell: 4.0202 4.0202 4.3938 Å, 90.00 90.00 90.00°
Last column: nearest neighbours and their distance in Å.
Fractional positions:
P (0.0000, 0.5000, 0.0000)  2 Be 2.01
Re (0.5000, 0.5000, 0.5000)  4 S 2.84, 8 P 2.98
Be (0.0000, 0.0000, 0.0000)  4 P 2.01, 2 S 2.20
P (0.5000, 0.0000, 0.0000)  2 Be 2.01
S (0.0000, 0.0000, 0.5000)  2 Be 2.20

Values from the calculation:
* Fermi-level density of states: 5.56 states/eV per cell
* total magnetic moment: 0.00 μB per formula unit
* symmetry: P4/mmm (123)

(2)
BeReP2S: optimized geometry, PBE.

Cell: 4.6272 4.6272 4.6780 Å, 90.00 90.00 90.00°
Last column: nearest neighbours and their distance in Å.
Fractional positions:
Re (0.0000, 0.0000, 0.0000)  4 P 2.31, 2 S 2.34
Be (0.5000, 0.5000, 0.5000)  4 S 3.27, 8 P 3.29
P (0.0000, 0.5000, 0.0000)  2 Re 2.31
P (0.5000, 0.0000, 0.0000)  2 Re 2.31
S (0.0000, 0.0000, 0.5000)  2 Re 2.34

Values from the calculation:
* Fermi-level density of states: 3.28 states/eV per cell
* total magnetic moment: 0.00 μB per formula unit
* symmetry: P4/mmm (123)

Each structure's energy above the most stable one, in eV/atom: (1) 0.127; (2) 0.000.

(1)
BePRh: optimized geometry, PBE.

Cell: 6.0421 3.3836 7.7451 Å, 90.00 104.83 90.00°
Last column: nearest neighbours and their distance in Å.
Fractional positions:
P (0.6600, 0.5000, 0.3358)  2 Be 2.21, 1 Rh 2.44
Rh (0.8397, 0.5000, 0.0869)  2 Be 2.31-2.52, 3 P 2.32-2.44
P (0.1083, 0.0000, 0.1746)  4 Be 2.23-2.34, 3 Rh 2.32-2.37
Be (0.1627, 0.0000, 0.4799)  1 Be 2.05
Rh (0.8397, 0.0000, 0.5869)  2 Be 2.31-2.52, 3 P 2.32-2.44
Be (0.4441, 0.5000, 0.8774)  1 Be 2.05, 3 P 2.21-2.23, 1 Rh 2.29
Rh (0.4542, 0.0000, 0.0833)  5 Be 2.29-2.43, 2 P 2.37-2.54
Be (0.4441, 0.0000, 0.3774)  1 Be 2.05, 3 P 2.21-2.23, 1 Rh 2.29
P (0.6600, 0.0000, 0.8358)  2 Be 2.21, 1 Rh 2.44
Be (0.1627, 0.5000, 0.9799)  1 Be 2.05
Rh (0.4542, 0.5000, 0.5833)  5 Be 2.29-2.43, 2 P 2.37-2.54
P (0.1083, 0.5000, 0.6746)  4 Be 2.23-2.34, 3 Rh 2.32-2.37

Values from the calculation:
* Fermi-level density of states: 3.21 states/eV per cell
* total magnetic moment: 0.00 μB per formula unit
* symmetry: Cm (8)

(2)
BePRh: optimized geometry, PBE.

Cell: 3.7522 3.7522 2.9725 Å, 90.00 90.00 120.00°
Last column: nearest neighbours and their distance in Å.
Fractional positions:
Be (0.0000, 0.0000, 0.1664)  3 P 2.17
Rh (0.6667, 0.3333, 0.6667)  6 P 2.63, 6 Be 2.63
P (0.3333, 0.6667, 0.1669)  3 Be 2.17

Values from the calculation:
* Fermi-level density of states: 1.50 states/eV per cell
* total magnetic moment: 0.00 μB per formula unit
* symmetry: P-6m2 (187)

(3)
BePRh: optimized geometry, PBE.

Cell: 2.8484 2.8484 5.3008 Å, 90.00 90.00 120.00°
Last column: nearest neighbours and their distance in Å.
Fractional positions:
P (0.3333, 0.6667, 0.3343)  3 Rh 2.40, 3 Be 2.41
Be (0.0000, 0.0000, 0.0018)  3 P 2.41, 3 Rh 2.43
Rh (0.6667, 0.3333, 0.6639)  3 P 2.40, 3 Be 2.43

Values from the calculation:
* Fermi-level density of states: 1.71 states/eV per cell
* total magnetic moment: 0.00 μB per formula unit
* symmetry: P3m1 (156)

(4)
BePRh: optimized geometry, PBE.

Cell: 3.9406 3.9406 9.9231 Å, 90.00 90.00 90.00°
Last column: nearest neighbours and their distance in Å.
Fractional positions:
P (0.5000, 0.5000, 0.8507)  1 Be 2.11
Be (0.0000, 0.0000, 0.8624)  1 P 2.11
Be (0.5000, 0.5000, 0.3624)  1 P 2.11
Rh (0.0000, 0.5000, 0.0000)  4 Be 2.40, 4 P 2.47
Rh (0.0000, 0.5000, 0.5000)  4 Be 2.40, 4 P 2.47
P (0.0000, 0.0000, 0.3507)  1 Be 2.11
P (0.0000, 0.0000, 0.6493)  1 Be 2.11
Be (0.5000, 0.5000, 0.6376)  1 P 2.11
P (0.5000, 0.5000, 0.1493)  1 Be 2.11
Rh (0.5000, 0.0000, 0.5000)  4 Be 2.40, 4 P 2.47
Be (0.0000, 0.0000, 0.1376)  1 P 2.11
Rh (0.5000, 0.0000, 0.0000)  4 Be 2.40, 4 P 2.47

Values from the calculation:
* Fermi-level density of states: 3.94 states/eV per cell
* total magnetic moment: 0.00 μB per formula unit
* symmetry: I4/mmm (139)

Each structure's energy above the most stable one, in eV/atom: (1) 0.035; (2) 0.376; (3) 0.303; (4) 0.000.